1.
This record from Alexandria via LeMat-Bulk describes a relaxed structure of SrCd3CuAg. The functional is PBE.

Its formation energy is -0.03 eV per atom. The density of states at the Fermi level is 14.998 states/eV/cell.

It has space group Cmcm (No. 63), with a = 7.337 Å, b = 13.262 Å, c = 6.215 Å, α = 90.00°, β = 90.00° and γ = 90.00°. The distinct sites, in fractional coordinates, are Sr at (0.000, 0.215, 0.250), Cd at (0.000, 0.338, 0.750), Cd at (0.197, 0.000, 0.000), Cu at (0.000, 0.137, 0.750) and Ag at (0.000, 0.447, 0.250).



2.
This record from Alexandria via LeMat-Bulk describes a relaxed structure of PrSm2Ho5Tm. The functional is PBE.

Its formation energy is 0.28 eV per atom. The density of states at the Fermi level is 41.712 states/eV/cell.

It has space group I4/mcm (No. 140), with a = 8.786 Å, b = 8.786 Å, c = 15.168 Å, α = 90.00°, β = 90.00° and γ = 90.00°. The distinct sites, in fractional coordinates, are Pr at (0.000, 0.000, 0.250), Sm at (0.115, 0.385, 0.000), Ho at (0.000, 0.000, 0.000), Ho at (0.208, 0.292, 0.364) and Tm at (0.000, 0.500, 0.250).



3.
This record from Alexandria via LeMat-Bulk describes a relaxed structure of MoCl3. The functional is PBE.

The calculation puts the formation energy (no corrections) at -0.582 eV/atom. The density of states at the Fermi level is 7.907 states/eV/cell.

It has space group P2_1/m (No. 11), with a = 8.103 Å, b = 3.166 Å, c = 9.998 Å, α = 90.00°, β = 93.03° and γ = 90.00°. The distinct sites, in fractional coordinates, are Mo at (0.182, 0.250, 0.257), Cl at (0.050, 0.250, 0.771), Cl at (0.278, 0.750, 0.434) and Cl at (0.318, 0.750, 0.110).



4.
This record from Alexandria via LeMat-Bulk describes a relaxed structure of Sc2TcRh. The functional is PBE.

Its formation energy is -0.55 eV per atom. The density of states at the Fermi level is 5.156 states/eV/cell.

It has space group P4/mmm (No. 123), with a = 3.221 Å, b = 3.221 Å, c = 6.550 Å, α = 90.00°, β = 90.00° and γ = 90.00°. The distinct sites, in fractional coordinates, are Sc at (0.000, 0.000, 0.247), Tc at (0.500, 0.500, 0.000) and Rh at (0.500, 0.500, 0.500).